# ScBIrPd2

A geometry-optimized ScBIrPd2 structure (PBE, Alexandria via LeMat-Bulk).

Cell: 4.229 4.229 4.144 Å, 90.00 90.00 90.00°
Fractional coordinates of all 5 atoms:
Pd: 0.500 0.000 0.000
Pd: 0.000 0.500 0.000
Sc: 0.500 0.500 0.500
B: 0.000 0.000 0.000
Ir: 0.000 0.000 0.500

## Properties
The calculation puts the formation energy at -605.5 meV/atom. The calculation puts the total magnetic moment at 0.0 μB/f.u. Its space group is P4/mmm.